TmScSnRu | PBE | relaxed

Cell and atoms, written as extended XYZ:
```
4
Lattice="4.8934 0.0000 0.0000 2.4467 4.2378 0.0000 2.4467 1.4126 3.9955" Properties=species:S:1:pos:R:3 pbc="T T T"
Sc 4.8934 2.8252 1.9977
Ru 7.3402 4.2378 2.9966
Tm 0.0000 0.0000 0.0000
Sn 2.4467 1.4126 0.9989
```

Calculated values
ΔH_f (0 K): -10.75 kcal/mol of atoms
Distance to the lowest polymorph of the same formula: 0.1470 eV per atom
V: 83 Å³/cell
Space group: F-43m, No. 216